Entry 1:
VASP calculation (PBE-GGA) on crystalline Dy3TlBi at its relaxed geometry.

POSCAR file:
```
Dy3TlBi
1.0
4.286 0.000 0.000
0.000 7.420 0.000
0.000 0.000 9.893
Dy Tl Bi
6 2 2
direct
0.250 0.019 0.180
0.250 0.250 0.591
0.250 0.481 0.180
0.750 0.519 0.820
0.750 0.750 0.409
0.750 0.981 0.820
0.250 0.250 0.915
0.750 0.750 0.085
0.250 0.750 0.644
0.750 0.250 0.356
```

E   -4.3643 eV per atom
Symmetry   No. 59

---

Entry 2:
VASP calculation (PBE-GGA) on crystalline CrFeBr2 at its relaxed geometry.

POSCAR file:
```
CrFeBr2
1.0
3.419 0.000 0.000
0.000 4.039 0.000
0.000 0.000 6.590
Cr Fe Br
1 1 2
direct
0.000 0.000 0.000
0.500 0.000 0.500
0.000 0.500 0.500
0.500 0.500 0.000
```

Formation energy (no corrections)   436 meV per atom
Symmetry   No. 47
Polymorph energy (0 for the lowest one)   1.49 eV per formula unit

---

Entry 3:
VASP calculation (PBE-GGA) on crystalline BaTlSe3 at its relaxed geometry.

POSCAR file:
```
BaTlSe3
1.0
6.221 0.000 0.000
0.000 6.221 0.000
0.000 0.000 6.221
Ba Tl Se
1 1 3
direct
0.000 0.000 0.000
0.500 0.500 0.500
0.000 0.000 0.500
0.000 0.500 0.000
0.500 0.000 0.000
```

Formation energy (no corrections)   -113 meV per atom
Symmetry   No. 221
Polymorph energy (0 for the lowest one)   3.79 eV per formula unit

---

Entry 4:
VASP calculation (PBE-GGA) on crystalline HoPuZr2 at its relaxed geometry.

POSCAR file:
```
HoPuZr2
1.0
1.652 0.953 10.725
-1.652 0.953 10.725
0.000 -1.907 10.725
Ho Pu Zr
1 1 2
direct
0.000 0.000 0.000
0.500 0.500 0.500
0.247 0.247 0.247
0.753 0.753 0.753
```

Symmetry   No. 166
Polymorph energy (0 for the lowest one)   0.02 eV per formula unit

---

Entry 5:
VASP calculation (PBE-GGA) on crystalline NbPbN at its relaxed geometry.

POSCAR file:
```
NbPbN
1.0
3.045 0.000 0.000
0.000 1.505 6.069
0.000 -1.505 6.069
Nb Pb N
1 1 1
direct
0.000 0.000 0.000
0.000 0.265 0.265
0.500 0.515 0.515
```

Formation energy (no corrections)   -243 meV per atom
Symmetry   No. 38

---

Entry 6:
VASP calculation (PBE-GGA) on crystalline NdDy12Er6 at its relaxed geometry.

POSCAR file:
```
NdDy12Er6
1.0
5.922 3.419 5.034
-5.922 3.419 5.034
0.000 -6.838 5.034
Nd Dy Er
1 12 6
direct
0.000 0.000 0.000
0.010 0.357 0.209
0.209 0.010 0.357
0.226 0.565 0.457
0.357 0.209 0.010
0.435 0.543 0.774
0.457 0.226 0.565
0.543 0.774 0.435
0.565 0.457 0.226
0.643 0.791 0.990
0.774 0.435 0.543
0.791 0.990 0.643
0.990 0.643 0.791
0.094 0.257 0.689
0.257 0.689 0.094
0.311 0.906 0.743
0.689 0.094 0.257
0.743 0.311 0.906
0.906 0.743 0.311
```

Symmetry   No. 148
Polymorph energy (0 for the lowest one)   0.00 eV per formula unit